The following is a DFT calculation (GGA-PBE) of a geometry-optimized Mg2Cd structure. Values from VASP.

Geometry as Quantum ESPRESSO input:
```
&SYSTEM
  ibrav = 0, nat = 6, ntyp = 2
/
ATOMIC_SPECIES
Mg 24.30 Mg.upf
Cd 112.41 Cd.upf
CELL_PARAMETERS angstrom
-2.481 -3.992 -6.658
4.035 1.193 6.980
-3.943 -1.889 2.602
ATOMIC_POSITIONS angstrom
Mg 0.161 -1.577 1.587
Mg -1.999 -3.296 -2.934
Mg -0.391 -1.392 5.858
Mg -2.551 -3.111 1.337
Cd 2.319 0.140 6.103
Cd -4.709 -4.828 -3.179
```

Summary:
* mass density: 4.09 g/cm³
* formation energy from the elements: -20 kJ/mol of formula units
* calculated volume: 130.8 Å³/cell
* total DFT energy (no corrections): -8.6 eV/cell
* space-group type: No. 63

The following is a DFT calculation (GGA-PBE) of a geometry-optimized MgCd structure. Values from VASP.

Geometry as Quantum ESPRESSO input:
```
&SYSTEM
  ibrav = 0, nat = 32, ntyp = 2
/
ATOMIC_SPECIES
Mg 24.30 Mg.upf
Cd 112.41 Cd.upf
CELL_PARAMETERS angstrom
11.524 0.000 0.000
0.000 8.636 0.000
0.000 0.000 7.779
ATOMIC_POSITIONS angstrom
Mg 0.000 2.722 0.000
Mg 0.000 5.914 0.000
Mg 2.881 3.755 1.945
Mg 2.881 0.563 1.945
Mg 0.000 7.040 3.890
Mg 0.000 1.596 3.890
Mg 2.881 8.073 5.834
Mg 2.881 4.881 5.834
Mg 5.762 2.722 3.890
Mg 5.762 5.914 3.890
Mg 8.643 3.755 5.834
Mg 8.643 0.563 5.834
Mg 5.762 7.040 0.000
Mg 5.762 1.596 0.000
Mg 8.643 8.073 1.945
Mg 8.643 4.881 1.945
Cd 0.000 0.000 1.420
Cd 0.000 0.000 6.359
Cd 2.881 6.477 0.525
Cd 2.881 6.477 3.365
Cd 0.000 4.318 5.310
Cd 0.000 4.318 2.469
Cd 2.881 2.159 4.414
Cd 2.881 2.159 7.255
Cd 5.762 0.000 5.310
Cd 5.762 0.000 2.469
Cd 8.643 6.477 4.414
Cd 8.643 6.477 7.255
Cd 5.762 4.318 1.420
Cd 5.762 4.318 6.359
Cd 8.643 2.159 0.525
Cd 8.643 2.159 3.365
```

Summary:
* mass density: 4.69 g/cm³
* formation energy from the elements: 8 kJ/mol of formula units
* calculated volume: 774.2 Å³/cell
* total DFT energy (no corrections): -38.8 eV/cell
* space-group type: No. 70

The following is a DFT calculation (GGA-PBE) of a geometry-optimized MgCd structure. Values from VASP.

Geometry as Quantum ESPRESSO input:
```
&SYSTEM
  ibrav = 0, nat = 8, ntyp = 2
/
ATOMIC_SPECIES
Cd 112.41 Cd.upf
Mg 24.30 Mg.upf
CELL_PARAMETERS angstrom
-0.254 -3.036 -4.585
-1.171 -4.175 2.829
-5.912 1.298 -0.531
ATOMIC_POSITIONS angstrom
Cd -1.046 -1.137 0.257
Cd -4.672 -3.585 -0.118
Cd -2.665 -2.328 -2.169
Cd -6.291 -4.776 -2.545
Mg -4.008 -0.530 -0.072
Mg -1.715 -4.191 0.211
Mg -5.622 -1.722 -2.498
Mg -3.329 -5.383 -2.215
```

Summary:
* mass density: 5.24 g/cm³
* formation energy from the elements: -18 kJ/mol of formula units
* calculated volume: 173.2 Å³/cell
* total DFT energy (no corrections): -10.8 eV/cell
* space-group type: No. 62

The following is a DFT calculation (GGA-PBE) of a geometry-optimized Mg2Cd structure. Values from VASP.

Geometry as Quantum ESPRESSO input:
```
&SYSTEM
  ibrav = 0, nat = 6, ntyp = 2
/
ATOMIC_SPECIES
Mg 24.30 Mg.upf
Cd 112.41 Cd.upf
CELL_PARAMETERS angstrom
4.456 0.000 0.000
-2.228 4.726 -1.371
0.000 -0.094 6.302
ATOMIC_POSITIONS angstrom
Mg 0.000 1.553 1.602
Mg 2.228 3.079 3.329
Mg 2.228 -0.047 3.151
Mg 2.228 0.000 0.000
Cd 0.000 1.466 4.739
Cd 2.228 3.167 0.191
```

Summary:
* mass density: 4.05 g/cm³
* formation energy from the elements: -20 kJ/mol of formula units
* calculated volume: 132.1 Å³/cell
* total DFT energy (no corrections): -8.6 eV/cell
* space-group type: No. 12

The following is a DFT calculation (GGA-PBE) of a geometry-optimized MgCd structure. Values from VASP.

Geometry as Quantum ESPRESSO input:
```
&SYSTEM
  ibrav = 0, nat = 2, ntyp = 2
/
ATOMIC_SPECIES
Mg 24.30 Mg.upf
Cd 112.41 Cd.upf
CELL_PARAMETERS angstrom
4.651 0.000 0.000
2.325 4.028 0.000
2.325 1.343 3.797
ATOMIC_POSITIONS angstrom
Mg 6.976 4.028 2.848
Cd 0.000 0.000 0.000
```

Summary:
* mass density: 3.19 g/cm³
* formation energy from the elements: 88 kJ/mol of formula units
* calculated volume: 71.1 Å³/cell
* total DFT energy (no corrections): -1.6 eV/cell
* space-group type: No. 216

The following is a DFT calculation (GGA-PBE) of a geometry-optimized Mg2Cd structure. Values from VASP.

Geometry as Quantum ESPRESSO input:
```
&SYSTEM
  ibrav = 0, nat = 3, ntyp = 2
/
ATOMIC_SPECIES
Mg 24.30 Mg.upf
Cd 112.41 Cd.upf
CELL_PARAMETERS angstrom
6.653 -0.123 0.000
5.132 4.236 0.000
-5.893 -2.057 2.308
ATOMIC_POSITIONS angstrom
Mg 1.906 0.665 0.000
Mg 9.879 3.448 0.000
Cd 5.893 2.057 0.000
```

Summary:
* mass density: 4.02 g/cm³
* formation energy from the elements: -19 kJ/mol of formula units
* calculated volume: 66.5 Å³/cell
* total DFT energy (no corrections): -4.3 eV/cell
* space-group type: No. 139

The following is a DFT calculation (GGA-PBE) of a geometry-optimized Mg13Cd2 structure. Values from VASP.

Geometry as Quantum ESPRESSO input:
```
&SYSTEM
  ibrav = 0, nat = 15, ntyp = 2
/
ATOMIC_SPECIES
Mg 24.30 Mg.upf
Cd 112.41 Cd.upf
CELL_PARAMETERS angstrom
7.373 0.000 3.634
2.791 6.824 3.634
0.216 0.145 8.858
ATOMIC_POSITIONS angstrom
Mg 5.190 3.484 8.063
Mg 2.659 3.666 9.666
Mg 5.460 3.666 11.046
Mg 4.400 1.074 9.666
Mg 5.980 5.895 6.460
Mg 7.720 3.303 6.460
Mg 4.919 3.303 5.080
Mg 2.876 5.078 6.847
Mg 7.563 5.078 9.157
Mg 5.789 0.740 6.847
Mg 4.590 6.229 9.279
Mg 7.503 1.891 9.279
Mg 2.816 1.891 6.969
Cd 7.559 5.075 12.552
Cd 2.820 1.893 3.574
```

Summary:
* mass density: 2.05 g/cm³
* formation energy from the elements: 311 kJ/mol of formula units
* calculated volume: 437.9 Å³/cell
* total DFT energy (no corrections): -19.3 eV/cell
* space-group type: No. 166

The following is a DFT calculation (GGA-PBE) of a geometry-optimized Mg2Cd structure. Values from VASP.

Geometry as Quantum ESPRESSO input:
```
&SYSTEM
  ibrav = 0, nat = 6, ntyp = 2
/
ATOMIC_SPECIES
Mg 24.30 Mg.upf
Cd 112.41 Cd.upf
CELL_PARAMETERS angstrom
0.000 4.120 4.120
4.120 0.000 4.120
4.120 4.120 0.000
ATOMIC_POSITIONS angstrom
Mg 3.090 1.030 3.090
Mg 3.090 3.090 1.030
Mg 1.030 3.090 3.090
Mg 1.030 1.030 1.030
Cd 6.180 6.180 6.180
Cd 4.120 4.120 4.120
```

Summary:
* mass density: 3.82 g/cm³
* formation energy from the elements: 21 kJ/mol of formula units
* calculated volume: 139.9 Å³/cell
* total DFT energy (no corrections): -7.8 eV/cell
* space-group type: No. 227

The following is a DFT calculation (GGA-PBE) of a geometry-optimized Mg2Cd structure. Values from VASP.

Geometry as Quantum ESPRESSO input:
```
&SYSTEM
  ibrav = 0, nat = 3, ntyp = 2
/
ATOMIC_SPECIES
Mg 24.30 Mg.upf
Cd 112.41 Cd.upf
CELL_PARAMETERS angstrom
-1.964 -2.520 0.204
2.795 -0.269 -1.540
3.373 -2.103 6.491
ATOMIC_POSITIONS angstrom
Mg 2.323 -1.714 1.187
Mg 1.881 -3.178 3.969
Cd 0.000 0.000 0.000
```

Summary:
* mass density: 3.96 g/cm³
* formation energy from the elements: -11 kJ/mol of formula units
* calculated volume: 67.6 Å³/cell
* total DFT energy (no corrections): -4.2 eV/cell
* space-group type: No. 164

The following is a DFT calculation (GGA-PBE) of a geometry-optimized MgCd structure. Values from VASP.

Geometry as Quantum ESPRESSO input:
```
&SYSTEM
  ibrav = 0, nat = 8, ntyp = 2
/
ATOMIC_SPECIES
Cd 112.41 Cd.upf
Mg 24.30 Mg.upf
CELL_PARAMETERS angstrom
4.963 0.000 0.000
-2.481 4.298 0.000
0.000 0.000 8.703
ATOMIC_POSITIONS angstrom
Cd 0.000 0.000 2.176
Cd 0.000 0.000 6.527
Cd 0.000 2.865 6.527
Cd 2.481 1.433 2.176
Mg 0.000 2.865 0.705
Mg 2.481 1.433 5.057
Mg 2.481 1.433 7.997
Mg 0.000 2.865 3.646
```

Summary:
* mass density: 4.89 g/cm³
* formation energy from the elements: -3 kJ/mol of formula units
* calculated volume: 185.6 Å³/cell
* total DFT energy (no corrections): -10.2 eV/cell
* space-group type: No. 194

The following is a DFT calculation (GGA-PBE) of a geometry-optimized MgCd3 structure. Values from VASP.

Geometry as Quantum ESPRESSO input:
```
&SYSTEM
  ibrav = 0, nat = 4, ntyp = 2
/
ATOMIC_SPECIES
Mg 24.30 Mg.upf
Cd 112.41 Cd.upf
CELL_PARAMETERS angstrom
-3.986 2.674 -1.456
-3.958 0.463 3.046
-0.991 4.411 2.172
ATOMIC_POSITIONS angstrom
Mg -2.234 1.887 0.940
Cd 0.000 0.000 0.000
Cd -4.468 3.774 1.881
Cd -6.701 5.661 2.821
```

Summary:
* mass density: 6.73 g/cm³
* distance to the lowest polymorph of the same formula: 60 meV per atom
* formation energy from the elements: -4 kJ/mol of formula units
* calculated volume: 89.2 Å³/cell
* total DFT energy (no corrections): -4.4 eV/cell
* space-group type: No. 225

The following is a DFT calculation (GGA-PBE) of a geometry-optimized Mg5Cd structure. Values from VASP.

Geometry as Quantum ESPRESSO input:
```
&SYSTEM
  ibrav = 0, nat = 6, ntyp = 2
/
ATOMIC_SPECIES
Mg 24.30 Mg.upf
Cd 112.41 Cd.upf
CELL_PARAMETERS angstrom
-0.859 2.960 0.799
-1.432 -1.471 -2.435
-10.644 -5.713 9.710
ATOMIC_POSITIONS angstrom
Mg -9.966 -3.302 7.854
Mg -7.126 -3.825 6.501
Mg -6.372 -1.373 4.576
Mg -3.517 -1.888 3.209
Mg -2.779 0.556 1.298
Cd 0.000 0.000 0.000
```

Summary:
* mass density: 2.85 g/cm³
* formation energy from the elements: -11 kJ/mol of formula units
* calculated volume: 136.1 Å³/cell
* total DFT energy (no corrections): -9.0 eV/cell
* space-group type: No. 187

Question: The lowest calculated volume belongs to which entry?
Answer: number 6

Question: Look up the total DFT energy (no corrections) of the eleventh one.
Answer: -4.4 eV/cell

Question: mass density of number 11 (MgCd3)?
Answer: 6.73 g/cm³